(1)
{
  "formula": "Sm2Ho2Al3",
  "functional": "PBE",
  "state": "relaxed",
  "vol_a3_per_cell": 196.4,
  "m_tot_mub_per_fu": 0.0,
  "final_energy_ev_per_atom": -4.445,
  "sg": "C2/m (12)",
  "lattice_angstrom": [[8.575, -1.966, 0.000], [8.575, 1.966, 0.000], [-0.512, 0.000, 5.823]],
  "species": ["Sm", "Sm", "Ho", "Ho", "Al", "Al", "Al"],
  "fractional_positions": [[0.088, 0.088, 0.348], [0.912, 0.912, 0.652], [0.334, 0.334, 0.138], [0.666, 0.666, 0.862], [0.271, 0.271, 0.639], [0.500, 0.500, 0.000], [0.729, 0.729, 0.361]]
}


(2)
{
  "formula": "MgFe2Bi",
  "functional": "PBE",
  "state": "relaxed",
  "vol_a3_per_cell": 67.1,
  "m_tot_mub_per_fu": 4.7,
  "final_energy_ev_per_atom": -5.116,
  "de_polymorph_ev_per_atom": 0.000,
  "sg": "F-43m (216)",
  "lattice_angstrom": [[0.000, 3.226, 3.226], [3.226, 0.000, 3.226], [3.226, 3.226, 0.000]],
  "species": ["Mg", "Fe", "Fe", "Bi"],
  "fractional_positions": [[0.000, 0.000, 0.000], [0.250, 0.250, 0.250], [0.500, 0.500, 0.500], [0.750, 0.750, 0.750]]
}


(3)
{
  "formula": "Al2Hg",
  "functional": "PBE",
  "state": "relaxed",
  "vol_a3_per_cell": 144.3,
  "final_energy_ev_per_atom": -2.159,
  "de_polymorph_ev_per_atom": 0.269,
  "sg": "P4_2/mnm (136)",
  "lattice_angstrom": [[5.756, 0.000, 0.000], [0.000, 5.756, 0.000], [0.000, 0.000, 4.355]],
  "species": ["Al", "Al", "Al", "Al", "Hg", "Hg"],
  "fractional_positions": [[0.184, 0.184, 0.000], [0.316, 0.684, 0.500], [0.684, 0.316, 0.500], [0.816, 0.816, 0.000], [0.000, 0.000, 0.500], [0.500, 0.500, 0.000]]
}


(4)
{
  "formula": "LiPaPb",
  "functional": "PBE",
  "state": "relaxed",
  "vol_a3_per_cell": 93.6,
  "m_tot_mub_per_fu": 1.9,
  "final_energy_ev_per_atom": -4.308,
  "de_polymorph_ev_per_atom": 0.283,
  "sg": "F-43m (216)",
  "lattice_angstrom": [[0.000, 3.604, 3.604], [3.604, 0.000, 3.604], [3.604, 3.604, 0.000]],
  "species": ["Li", "Pa", "Pb"],
  "fractional_positions": [[0.000, 0.000, 0.000], [0.250, 0.250, 0.250], [0.500, 0.500, 0.500]]
}


(5)
{
  "formula": "TbBe14",
  "functional": "PBE",
  "state": "relaxed",
  "vol_a3_per_cell": 156.2,
  "m_tot_mub_per_fu": 0.0,
  "final_energy_ev_per_atom": -3.588,
  "sg": "R-3m (166)",
  "lattice_angstrom": [[3.385, 1.954, 3.935], [-3.385, 1.954, 3.935], [0.000, -3.908, 3.935]],
  "species": ["Tb", "Be", "Be", "Be", "Be", "Be", "Be", "Be", "Be", "Be", "Be", "Be", "Be", "Be", "Be"],
  "fractional_positions": [[0.000, 0.000, 0.000], [0.159, 0.500, 0.841], [0.159, 0.841, 0.500], [0.213, 0.213, 0.213], [0.238, 0.238, 0.564], [0.238, 0.564, 0.238], [0.436, 0.762, 0.762], [0.500, 0.159, 0.841], [0.500, 0.841, 0.159], [0.564, 0.238, 0.238], [0.762, 0.436, 0.762], [0.762, 0.762, 0.436], [0.787, 0.787, 0.787], [0.841, 0.159, 0.500], [0.841, 0.500, 0.159]]
}


(6)
{
  "formula": "Ho3Tm3CoTe2",
  "functional": "PBE",
  "state": "relaxed",
  "vol_a3_per_cell": 230.2,
  "m_tot_mub_per_fu": 0.2,
  "final_energy_ev_per_atom": -5.145,
  "de_polymorph_ev_per_atom": 0.033,
  "sg": "P-62m (189)",
  "lattice_angstrom": [[8.284, 0.000, 0.000], [-4.142, 7.174, 0.000], [0.000, 0.000, 3.873]],
  "species": ["Ho", "Ho", "Ho", "Tm", "Tm", "Tm", "Co", "Te", "Te"],
  "fractional_positions": [[0.000, 0.237, 0.000], [0.237, 0.000, 0.000], [0.763, 0.763, 0.000], [0.000, 0.604, 0.500], [0.396, 0.396, 0.500], [0.604, 0.000, 0.500], [0.000, 0.000, 0.500], [0.333, 0.667, 0.000], [0.667, 0.333, 0.000]]
}


(7)
{
  "formula": "NdGeTeAuS2",
  "functional": "PBE",
  "state": "relaxed",
  "vol_a3_per_cell": 316.1,
  "m_tot_mub_per_fu": 0.0,
  "final_energy_ev_per_atom": -4.699,
  "sg": "Cmcm (63)",
  "lattice_angstrom": [[2.045, -6.674, 0.000], [2.045, 6.674, 0.000], [0.000, 0.000, 11.579]],
  "species": ["Nd", "Nd", "Ge", "Ge", "Te", "Te", "Au", "Au", "S", "S", "S", "S"],
  "fractional_positions": [[0.000, 0.000, 0.000], [0.000, 0.000, 0.500], [0.235, 0.765, 0.750], [0.765, 0.235, 0.250], [0.115, 0.885, 0.250], [0.885, 0.115, 0.750], [0.430, 0.570, 0.250], [0.570, 0.430, 0.750], [0.363, 0.637, 0.059], [0.363, 0.637, 0.441], [0.637, 0.363, 0.559], [0.637, 0.363, 0.941]]
}


(8)
{
  "formula": "GdSi2Pt",
  "functional": "PBE",
  "state": "relaxed",
  "vol_a3_per_cell": 144.6,
  "m_tot_mub_per_fu": 0.0,
  "final_energy_ev_per_atom": -6.175,
  "sg": "Pmn2_1 (31)",
  "lattice_angstrom": [[4.133, 0.000, 0.000], [0.000, 6.036, 0.000], [0.000, 0.000, 5.794]],
  "species": ["Gd", "Gd", "Si", "Si", "Si", "Si", "Pt", "Pt"],
  "fractional_positions": [[0.000, 0.101, 0.000], [0.500, 0.899, 0.500], [0.000, 0.259, 0.502], [0.000, 0.638, 0.746], [0.500, 0.362, 0.246], [0.500, 0.741, 0.002], [0.000, 0.598, 0.199], [0.500, 0.402, 0.699]]
}


(9)
{
  "formula": "Tm3Mg3Ag2Au",
  "functional": "PBE",
  "state": "relaxed",
  "vol_a3_per_cell": 203.9,
  "m_tot_mub_per_fu": 0.0,
  "final_energy_ev_per_atom": -3.400,
  "sg": "P-62m (189)",
  "lattice_angstrom": [[7.591, 0.000, 0.000], [-3.796, 6.574, 0.000], [0.000, 0.000, 4.085]],
  "species": ["Tm", "Tm", "Tm", "Mg", "Mg", "Mg", "Ag", "Ag", "Au"],
  "fractional_positions": [[0.000, 0.406, 0.000], [0.406, 0.000, 0.000], [0.594, 0.594, 0.000], [0.000, 0.752, 0.500], [0.248, 0.248, 0.500], [0.752, 0.000, 0.500], [0.333, 0.667, 0.500], [0.667, 0.333, 0.500], [0.000, 0.000, 0.000]]
}


(10)
{
  "formula": "HoB4Mo",
  "functional": "PBE",
  "state": "relaxed",
  "vol_a3_per_cell": 60.1,
  "m_tot_mub_per_fu": 0.0,
  "final_energy_ev_per_atom": -7.563,
  "de_polymorph_ev_per_atom": 0.093,
  "sg": "P6/mmm (191)",
  "lattice_angstrom": [[3.127, 0.000, 0.000], [-1.564, 2.708, 0.000], [0.000, 0.000, 7.100]],
  "species": ["Ho", "B", "B", "B", "B", "Mo"],
  "fractional_positions": [[0.000, 0.000, 0.000], [0.333, 0.667, 0.273], [0.333, 0.667, 0.727], [0.667, 0.333, 0.273], [0.667, 0.333, 0.727], [0.000, 0.000, 0.500]]
}


(11)
{
  "formula": "LaBeCo",
  "functional": "PBE",
  "state": "relaxed",
  "vol_a3_per_cell": 66.3,
  "m_tot_mub_per_fu": 0.0,
  "final_energy_ev_per_atom": -4.190,
  "de_polymorph_ev_per_atom": 0.747,
  "sg": "F-43m (216)",
  "lattice_angstrom": [[0.000, 3.212, 3.212], [3.212, 0.000, 3.212], [3.212, 3.212, 0.000]],
  "species": ["La", "Be", "Co"],
  "fractional_positions": [[0.000, 0.000, 0.000], [0.750, 0.750, 0.750], [0.250, 0.250, 0.250]]
}


(12)
{
  "formula": "GdY2Cd3CuAu2",
  "functional": "PBE",
  "state": "relaxed",
  "vol_a3_per_cell": 201.6,
  "m_tot_mub_per_fu": 0.0,
  "final_energy_ev_per_atom": -3.974,
  "sg": "Amm2 (38)",
  "e_form_ev_per_atom": -0.5826,
  "lattice_angstrom": [[3.878, 0.000, 0.000], [0.000, 6.711, 3.873], [0.000, -6.711, 3.873]],
  "species": ["Gd", "Y", "Y", "Cd", "Cd", "Cd", "Cu", "Au", "Au"],
  "fractional_positions": [[0.000, 0.000, 0.000], [0.000, 0.407, 0.813], [0.000, 0.813, 0.407], [0.500, 0.161, 0.407], [0.500, 0.407, 0.161], [0.500, 0.651, 0.651], [0.000, 0.406, 0.406], [0.500, 0.073, 0.739], [0.500, 0.739, 0.073]]
}